Entry from the Alexandria database: crystalline Pa8GaTc6 at its relaxed geometry (PBE).

Values from the calculation:
- Formation energy from the elements: -19.8 meV/atom
- Size of the total moment: 0.0 μB per cell

abc: 7.0046 7.0046 7.0046
angles: 78.82 78.82 78.82
Fractional coordinates of all 15 atoms:
Pa1 0.7381 0.7381 0.7381
Pa2 0.2619 0.2619 0.2619
Pa3 0.6333 0.8860 0.1805
Pa4 0.8860 0.1805 0.6333
Pa5 0.1805 0.6333 0.8860
Pa6 0.3667 0.1140 0.8195
Pa7 0.1140 0.8195 0.3667
Pa8 0.8195 0.3667 0.1140
Ga1 0.0000 0.0000 0.0000
Tc1 0.5462 0.4223 0.8110
Tc2 0.4223 0.8110 0.5462
Tc3 0.8110 0.5462 0.4223
Tc4 0.4538 0.5777 0.1890
Tc5 0.5777 0.1890 0.4538
Tc6 0.1890 0.4538 0.5777

=====

Entry from the Alexandria database: crystalline PaGaTc at its relaxed geometry (PBE).

Values from the calculation:
- Formation energy from the elements: 1224.5 meV/atom
- Size of the total moment: 1.2 μB per cell
- Energy relative to the lowest polymorph listed for this composition: 1.674 eV per atom

abc: 4.0641 4.0641 5.4611
angles: 90.00 90.00 120.00
Fractional coordinates of all 3 atoms:
Tc1 0.3333 0.6667 0.5000
Pa1 0.6667 0.3333 0.0000
Ga1 0.6667 0.3333 0.5000

=====

Entry from the Alexandria database: crystalline PaGa2Tc at its relaxed geometry (PBE).

Values from the calculation:
- Formation energy from the elements: -445.4 meV/atom
- Size of the total moment: 0.0 μB per cell
- Energy relative to the lowest polymorph listed for this composition: 0.000 eV per atom

abc: 4.5043 5.0398 6.8654
angles: 90.00 90.00 107.21
Fractional coordinates of all 8 atoms:
Pa1 0.9644 0.8466 0.2500
Pa2 0.0356 0.1534 0.7500
Ga1 0.4123 0.7297 0.5534
Ga2 0.5877 0.2703 0.4466
Ga3 0.4123 0.7297 0.9466
Ga4 0.5877 0.2703 0.0534
Tc1 0.8846 0.6184 0.7500
Tc2 0.1154 0.3816 0.2500

=====

Entry from the Alexandria database: crystalline Pa2GaTc at its relaxed geometry (PBE).

Values from the calculation:
- Formation energy from the elements: -260.5 meV/atom
- Size of the total moment: 0.0 μB per cell
- Energy relative to the lowest polymorph listed for this composition: 0.065 eV per atom

abc: 3.1844 3.1844 8.3057
angles: 90.00 90.00 90.00
Fractional coordinates of all 4 atoms:
Pa1 0.0000 0.0000 0.7746
Pa2 0.0000 0.0000 0.2254
Tc1 0.5000 0.5000 0.0000
Ga1 0.5000 0.5000 0.5000

=====

Entry from the Alexandria database: crystalline Pa2Ga3Tc at its relaxed geometry (PBE).

Values from the calculation:
- Formation energy from the elements: -341.5 meV/atom
- Size of the total moment: 0.0 μB per cell
- Energy relative to the lowest polymorph listed for this composition: 0.021 eV per atom

abc: 5.3028 5.3028 5.5353
angles: 89.89 118.54 120.22
Fractional coordinates of all 6 atoms:
Pa1 0.7284 0.3630 0.0915
Pa2 0.2716 0.6370 0.9085
Ga1 0.5000 0.5000 0.5000
Ga2 0.0000 0.0000 0.5000
Ga3 0.5000 0.0000 0.5000
Tc1 0.0000 0.0000 0.0000

=====

Entry from the Alexandria database: crystalline PaGaTc2 at its relaxed geometry (PBE).

Values from the calculation:
- Formation energy from the elements: -341.9 meV/atom
- Size of the total moment: 0.0 μB per cell
- Energy relative to the lowest polymorph listed for this composition: 0.000 eV per atom

abc: 3.5687 4.3867 4.3867
angles: 90.00 90.00 90.00
Fractional coordinates of all 4 atoms:
Pa1 0.5000 0.5000 0.5000
Tc1 0.0000 0.0000 0.5000
Tc2 0.0000 0.5000 0.0000
Ga1 0.5000 0.0000 0.0000